Entry 1:
VASP calculation (PBE-GGA) on a relaxed V2InW crystal.

Output
Raw total energy (eV per atom): -8.17

a = 3.0153 Å, b = 3.0153 Å, c = 25.6325 Å
α = 90.00°, β = 90.00°, γ = 120.00°
With the nearest neighbours (Å) after each atom.
Space group R-3m (No. 166, hexagonal axes)
Unique sites:
1 V 0.0000 0.0000 0.2409  3 W 2.58
2 In 0.0000 0.0000 0.0000  6 V 2.94, 6 In 3.02
3 W 0.0000 0.0000 0.5000  6 V 2.58

Entry 2:
VASP calculation (PBE-GGA) on a relaxed RePd12Au3 crystal.

Output
Raw total energy (eV per atom): -5.29

a = 3.9741 Å, b = 3.9741 Å, c = 15.9867 Å
α = 90.00°, β = 90.00°, γ = 90.00°
With the nearest neighbours (Å) after each atom.
Space group P4/mmm (No. 123)
Unique sites:
1 Re 0.0000 0.0000 0.0000  12 Pd 2.73-2.81
2 Pd 0.0000 0.5000 0.1168  8 Pd 2.73-2.87, 2 Re 2.73, 2 Au 2.88
3 Pd 0.0000 0.5000 0.3736  8 Pd 2.81-2.85, 4 Au 2.83-2.84
4 Pd 0.5000 0.5000 0.0000  8 Pd 2.73, 4 Re 2.81
5 Pd 0.5000 0.5000 0.2461  4 Au 2.81, 8 Pd 2.85-2.87
6 Pd 0.5000 0.5000 0.5000  4 Au 2.81, 8 Pd 2.83
7 Au 0.0000 0.0000 0.2471  12 Pd 2.81-2.88
8 Au 0.0000 0.0000 0.5000  12 Pd 2.81-2.83

Entry 3:
VASP calculation (PBE-GGA) on a relaxed Tc3H2 crystal.

Output
Raw total energy (eV per atom): -7.65

a = 4.9470 Å, b = 4.9470 Å, c = 13.3756 Å
α = 90.00°, β = 90.00°, γ = 120.00°
With the nearest neighbours (Å) after each atom.
Space group R-3c (No. 167, hexagonal axes)
Unique sites:
1 Tc 0.0000 0.3348 0.2500  4 H 1.95-2.03
2 H 0.0000 0.0000 0.1622  6 Tc 1.95-2.03

Entry 4:
VASP calculation (PBE-GGA) on a relaxed Tb2PrSmN4 crystal.

Output
Uncorrected formation energy (meV per atom): -1507

a = 6.1802 Å, b = 3.5700 Å, c = 6.1850 Å
α = 90.00°, β = 109.41°, γ = 90.00°
With the nearest neighbours (Å) after each atom.
Space group P2/m (No. 10)
Unique sites:
1 Tb 0.0000 0.0000 0.0000  6 N 2.50-2.51
2 Tb 0.5000 0.5000 0.0000  6 N 2.48-2.49
3 Pr 0.0000 0.5000 0.5000  6 N 2.56-2.57
4 Sm 0.5000 0.0000 0.5000  6 N 2.54
5 N 0.2503 0.5000 0.2425  3 Tb 2.48-2.51, 2 Sm 2.54, 1 Pr 2.56
6 N 0.2560 0.0000 0.7599  3 Tb 2.49-2.50, 1 Sm 2.54, 2 Pr 2.57